[1]
SmScIn, optimized geometry, DFT PBE; energy of formation = -358 meV per atom; E above lowest polymorph = 0.000 eV/atom; total DFT energy (no corrections) = -29.7 eV for the cell shown
1.0
5.243 0.000 0.000
-2.622 4.541 0.000
0.000 0.000 6.685
Sm Sc In
2 2 2
direct
0.000 0.000 0.000
0.000 0.000 0.500
0.333 0.667 0.250
0.667 0.333 0.750
0.333 0.667 0.750
0.667 0.333 0.250

[2]
SmSc4In, optimized geometry, DFT PBE; energy of formation = -23 meV per atom; total DFT energy (no corrections) = -65.8 eV for the cell shown
1.0
6.077 0.000 0.000
0.000 7.045 0.000
-3.655 0.000 7.557
Sm Sc In
2 8 2
direct
0.000 0.115 0.250
0.000 0.885 0.750
0.183 0.405 0.658
0.183 0.595 0.158
0.431 0.281 0.038
0.431 0.719 0.538
0.569 0.281 0.462
0.569 0.719 0.962
0.817 0.405 0.842
0.817 0.595 0.342
0.500 0.065 0.750
0.500 0.935 0.250

[3]
Sm7ScIn4, optimized geometry, DFT PBE; energy of formation = -121 meV per atom; total DFT energy (no corrections) = -51.8 eV for the cell shown
1.0
7.395 -2.862 0.000
7.395 2.862 0.000
-5.655 0.000 8.662
Sm Sc In
7 1 4
direct
0.000 0.000 0.000
0.232 0.232 0.679
0.296 0.296 0.118
0.435 0.435 0.603
0.565 0.565 0.397
0.704 0.704 0.882
0.768 0.768 0.321
0.500 0.500 0.000
0.054 0.054 0.740
0.180 0.180 0.337
0.820 0.820 0.663
0.946 0.946 0.260

no.,M_tot (Bohr magnetons per cell)
1,0.000
2,0.001
3,0.000